DFT (PBE-GGA) results for a relaxed structure of Tb2Er3Tm6Sc.

DOS(E_F)   1.420 states/eV per atom
Formation energy   0.031 eV per atom
Crystal system   monoclinic
Size of the total moment   0.00 μB per atom
Space group   C2/m (12)

a b c (Å): 6.0311 6.0311 11.5619
angles (deg): 94.98 94.98 119.94
With the nearest neighbours (Å) after each atom.
Element x y z (fractional)
Tb 0.1666 0.8334 0.0000  6 Tm 3.48, 3 Tb 3.48, 3 Sc 3.48
Tb 0.8334 0.1666 0.0000  6 Tm 3.48, 3 Tb 3.48, 3 Sc 3.48
Er 0.0000 0.0000 0.5000  6 Er 3.48, 6 Tm 3.49-3.50
Er 0.3336 0.6664 0.5000  6 Er 3.48-3.49, 6 Tm 3.49-3.51
Er 0.6664 0.3336 0.5000  6 Er 3.48-3.49, 6 Tm 3.49-3.51
Tm 0.0865 0.4175 0.7511  6 Tm 3.46-3.50, 1 Sc 3.47, 2 Tb 3.48, 3 Er 3.49-3.51
Tm 0.2514 0.2514 0.2491  6 Tm 3.46-3.50, 1 Sc 3.47, 2 Tb 3.48, 3 Er 3.49-3.50
Tm 0.4175 0.0865 0.7511  6 Tm 3.46-3.50, 1 Sc 3.47, 2 Tb 3.48, 3 Er 3.49-3.51
Tm 0.5825 0.9135 0.2489  6 Tm 3.46-3.50, 1 Sc 3.47, 2 Tb 3.48, 3 Er 3.49-3.51
Tm 0.7486 0.7486 0.7509  6 Tm 3.46-3.50, 1 Sc 3.47, 2 Tb 3.48, 3 Er 3.49-3.50
Tm 0.9135 0.5825 0.2489  6 Tm 3.46-3.50, 1 Sc 3.47, 2 Tb 3.48, 3 Er 3.49-3.51
Sc 0.5000 0.5000 0.0000  6 Tm 3.47, 6 Tb 3.48